Record 1
Entry from the Alexandria database: a relaxed structure of TaPb2Cl (GGA-PBE).

Cell: 7.1163 7.1163 5.3049 Å, 68.10 68.10 25.41°
Last column: magnetic moment on the atom in μB.
Sites, in units of the cell vectors:
1 Cl 0.1714 0.1714 0.3287  0.00
2 Pb 0.0052 0.0052 0.9948  -0.01
3 Pb 0.8082 0.8082 0.6918  0.01
4 Ta 0.5151 0.5151 0.4847  0.16

Computed properties:
- total moment (μB per cell) = 0.2
- relative energy among the computed polymorphs (meV/atom) = 23
- symmetry = No. 44


Record 2
Entry from the Alexandria database: a relaxed structure of TaTiPbCl2 (GGA-PBE).

Cell: 4.5107 6.4081 4.5107 Å, 90.00 90.00 90.00°
Last column: magnetic moment on the atom in μB.
Sites, in units of the cell vectors:
1 Pb 0.0000 0.5000 0.0000  -0.10
2 Cl 0.0000 0.0000 0.5000  0.01
3 Cl 0.5000 0.0000 0.0000  -0.02
4 Ti 0.0000 0.0000 0.0000  0.77
5 Ta 0.5000 0.5000 0.5000  1.48

Computed properties:
- total moment (μB per cell) = 3.0
- symmetry = No. 123
- final energy (Ry/atom) = -0.3736


Record 3
Entry from the Alexandria database: a relaxed structure of TbPbCl5 (GGA-PBE).

Cell: 7.2820 7.2820 10.4107 Å, 108.50 108.50 89.94°
Sites, in units of the cell vectors:
1 Tb 0.0000 0.0000 0.0000
2 Tb 0.5000 0.5000 0.5000
3 Pb 0.9124 0.5876 0.2500
4 Pb 0.0876 0.4124 0.7500
5 Cl 0.8091 0.8907 0.1463
6 Cl 0.7797 0.2746 0.4739
7 Cl 0.3907 0.3091 0.6463
8 Cl 0.2322 0.2678 0.2500
9 Cl 0.2254 0.7203 0.0261
10 Cl 0.7746 0.2797 0.9739
11 Cl 0.7678 0.7322 0.7500
12 Cl 0.6093 0.6909 0.3537
13 Cl 0.2203 0.7254 0.5261
14 Cl 0.1909 0.1093 0.8537

Computed properties:
- total moment (μB per cell) = 0.0
- symmetry = No. 15
- final energy (Ry/atom) = -0.3130


Record 4
Entry from the Alexandria database: a relaxed structure of TbTlPbCl6 (GGA-PBE).

Cell: 7.3580 7.3580 13.5008 Å, 90.00 90.00 120.00°
Sites, in units of the cell vectors:
1 Tb 0.6667 0.3333 0.2500
2 Tb 0.3333 0.6667 0.7500
3 Tl 0.0000 0.0000 0.0000
4 Tl 0.0000 0.0000 0.5000
5 Pb 0.3333 0.6667 0.2500
6 Pb 0.6667 0.3333 0.7500
7 Cl 0.6463 0.6210 0.1370
8 Cl 0.9748 0.3537 0.1370
9 Cl 0.3537 0.9748 0.6370
10 Cl 0.0252 0.6463 0.8630
11 Cl 0.3790 0.3537 0.3630
12 Cl 0.9748 0.6210 0.3630
13 Cl 0.6210 0.9748 0.8630
14 Cl 0.6463 0.0252 0.3630
15 Cl 0.0252 0.3790 0.6370
16 Cl 0.3790 0.0252 0.1370
17 Cl 0.6210 0.6463 0.6370
18 Cl 0.3537 0.3790 0.8630

Computed properties:
- total moment (μB per cell) = 0.0
- symmetry = No. 163
- final energy (Ry/atom) = -0.2996